Ca2ZrIr: relaxed, PBE.

The structure in CIF format:
```
data_Ca2ZrIr
_chemical_formula_sum 'Ca4 Zr2 Ir2'
_cell_length_a 5.745
_cell_length_b 9.964
_cell_length_c 3.187
_cell_angle_alpha 90.00
_cell_angle_beta 90.27
_cell_angle_gamma 90.00
_symmetry_space_group_name_H-M 'C 1 2/m 1'
_symmetry_Int_Tables_number 12
loop_
_symmetry_equiv_pos_as_xyz
'x,y,z'
'-x,-y,-z'
'-x,y,-z'
'x,-y,z'
'x+1/2,y+1/2,z'
'-x+1/2,-y+1/2,-z'
'-x+1/2,y+1/2,-z'
'x+1/2,-y+1/2,z'
loop_
_atom_site_label
_atom_site_fract_x
_atom_site_fract_y
_atom_site_fract_z
Ca1 0.250 0.250 0.000
Zr1 0.000 0.000 0.500
Ir1 0.000 0.500 0.500
```

Output
The formation enthalpy at 0 K comes out at 0.227 eV per atom.

---

Ca2ZrIr: relaxed, PBE.

The structure in CIF format:
```
data_Ca2ZrIr
_chemical_formula_sum 'Ca2 Zr1 Ir1'
_cell_length_a 3.230
_cell_length_b 4.853
_cell_length_c 5.851
_cell_angle_alpha 90.00
_cell_angle_beta 90.00
_cell_angle_gamma 90.00
_symmetry_space_group_name_H-M 'P m m m'
_symmetry_Int_Tables_number 47
loop_
_symmetry_equiv_pos_as_xyz
'x,y,z'
'-x,-y,-z'
'-x,-y,z'
'x,y,-z'
'x,-y,-z'
'-x,y,z'
'-x,y,-z'
'x,-y,z'
loop_
_atom_site_label
_atom_site_fract_x
_atom_site_fract_y
_atom_site_fract_z
Ca1 0.000 0.000 0.232
Zr1 0.500 0.500 0.500
Ir1 0.500 0.500 0.000
```

Output
The formation enthalpy at 0 K comes out at 0.181 eV per atom.

---

Ca2ZrIr: relaxed, PBE.

The structure in CIF format:
```
data_Ca2ZrIr
_chemical_formula_sum 'Ca2 Zr1 Ir1'
_cell_length_a 3.208
_cell_length_b 3.208
_cell_length_c 9.545
_cell_angle_alpha 90.00
_cell_angle_beta 90.00
_cell_angle_gamma 90.00
_symmetry_space_group_name_H-M 'P 4/m m m'
_symmetry_Int_Tables_number 123
_symmetry_space_group_name_Hall '-P 4 2'
loop_
_atom_site_label
_atom_site_fract_x
_atom_site_fract_y
_atom_site_fract_z
Ca1 0.000 0.000 0.194
Zr1 0.500 0.500 0.500
Ir1 0.500 0.500 0.000
```

Output
The formation enthalpy at 0 K comes out at 0.124 eV per atom.

---

CaZr2Ir: relaxed, PBE.

The structure in CIF format:
```
data_CaZr2Ir
_chemical_formula_sum 'Ca1 Zr2 Ir1'
_cell_length_a 3.260
_cell_length_b 4.341
_cell_length_c 6.814
_cell_angle_alpha 90.00
_cell_angle_beta 98.78
_cell_angle_gamma 90.00
_symmetry_space_group_name_H-M 'P 1 m 1'
_symmetry_Int_Tables_number 6
loop_
_symmetry_equiv_pos_as_xyz
'x,y,z'
'x,-y,z'
loop_
_atom_site_label
_atom_site_fract_x
_atom_site_fract_y
_atom_site_fract_z
Ca1 0.000 0.000 0.000
Zr1 0.417 0.500 0.673
Zr2 0.865 0.000 0.449
Ir1 0.425 0.500 0.295
```

Output
The formation enthalpy at 0 K comes out at -0.081 eV per atom.

---

CaZr2Ir: relaxed, PBE.

The structure in CIF format:
```
data_CaZr2Ir
_chemical_formula_sum 'Ca1 Zr2 Ir1'
_cell_length_a 3.287
_cell_length_b 4.369
_cell_length_c 6.498
_cell_angle_alpha 90.00
_cell_angle_beta 104.07
_cell_angle_gamma 90.00
_symmetry_space_group_name_H-M 'P 1 2/m 1'
_symmetry_Int_Tables_number 10
loop_
_symmetry_equiv_pos_as_xyz
'x,y,z'
'-x,-y,-z'
'-x,y,-z'
'x,-y,z'
loop_
_atom_site_label
_atom_site_fract_x
_atom_site_fract_y
_atom_site_fract_z
Ca1 0.000 0.000 0.000
Zr1 0.413 0.500 0.699
Ir1 0.000 0.000 0.500
```

Output
The formation enthalpy at 0 K comes out at -0.074 eV per atom.

---

Ca2ZrIr: relaxed, PBE.

The structure in CIF format:
```
data_Ca2ZrIr
_chemical_formula_sum 'Ca4 Zr2 Ir2'
_cell_length_a 4.141
_cell_length_b 4.141
_cell_length_c 10.486
_cell_angle_alpha 90.00
_cell_angle_beta 90.00
_cell_angle_gamma 90.00
_symmetry_space_group_name_H-M 'I 4/m m m'
_symmetry_Int_Tables_number 139
_symmetry_space_group_name_Hall '-I 4 2'
loop_
_atom_site_label
_atom_site_fract_x
_atom_site_fract_y
_atom_site_fract_z
Ca1 0.000 0.500 0.250
Zr1 0.000 0.000 0.000
Ir1 0.000 0.000 0.500
```

Output
The formation enthalpy at 0 K comes out at 0.053 eV per atom.

---

CaZr2Ir: relaxed, PBE.

The structure in CIF format:
```
data_CaZr2Ir
_chemical_formula_sum 'Ca2 Zr4 Ir2'
_cell_length_a 5.675
_cell_length_b 9.612
_cell_length_c 3.102
_cell_angle_alpha 90.00
_cell_angle_beta 90.00
_cell_angle_gamma 90.00
_symmetry_space_group_name_H-M 'C m m m'
_symmetry_Int_Tables_number 65
_symmetry_space_group_name_Hall '-C 2 2'
loop_
_atom_site_label
_atom_site_fract_x
_atom_site_fract_y
_atom_site_fract_z
Ca1 0.000 0.000 0.000
Zr1 0.250 0.250 0.500
Ir1 0.000 0.500 0.000
```

Output
The formation enthalpy at 0 K comes out at 0.170 eV per atom.

---

Ca2ZrIr: relaxed, PBE.

The structure in CIF format:
```
data_Ca2ZrIr
_chemical_formula_sum 'Ca2 Zr1 Ir1'
_cell_length_a 3.514
_cell_length_b 3.514
_cell_length_c 8.972
_cell_angle_alpha 90.00
_cell_angle_beta 90.00
_cell_angle_gamma 90.00
_symmetry_space_group_name_H-M 'P 4 m m'
_symmetry_Int_Tables_number 99
loop_
_symmetry_equiv_pos_as_xyz
'x,y,z'
'-y,x,z'
'-x,-y,z'
'y,-x,z'
'-x,y,z'
'y,x,z'
'x,-y,z'
'-y,-x,z'
loop_
_atom_site_label
_atom_site_fract_x
_atom_site_fract_y
_atom_site_fract_z
Ca1 0.000 0.000 0.000
Ca2 0.500 0.500 0.357
Zr1 0.500 0.500 0.711
Ir1 0.000 0.000 0.584
```

Output
The formation enthalpy at 0 K comes out at -0.277 eV per atom.

---

CaZr3Ir: relaxed, PBE.

The structure in CIF format:
```
data_CaZr3Ir
_chemical_formula_sum 'Ca1 Zr3 Ir1'
_cell_length_a 5.169
_cell_length_b 5.169
_cell_length_c 5.169
_cell_angle_alpha 90.00
_cell_angle_beta 90.00
_cell_angle_gamma 90.00
_symmetry_space_group_name_H-M 'P m -3 m'
_symmetry_Int_Tables_number 221
_symmetry_space_group_name_Hall '-P 4 2 3'
loop_
_atom_site_label
_atom_site_fract_x
_atom_site_fract_y
_atom_site_fract_z
Ca1 0.000 0.000 0.000
Zr1 0.000 0.500 0.500
Ir1 0.500 0.500 0.500
```

Output
The formation enthalpy at 0 K comes out at 0.064 eV per atom.

---

CaZrIr: relaxed, PBE.

The structure in CIF format:
```
data_CaZrIr
_chemical_formula_sum 'Ca2 Zr2 Ir2'
_cell_length_a 3.409
_cell_length_b 3.409
_cell_length_c 12.512
_cell_angle_alpha 90.00
_cell_angle_beta 90.00
_cell_angle_gamma 90.00
_symmetry_space_group_name_H-M 'I 4 m m'
_symmetry_Int_Tables_number 107
_symmetry_space_group_name_Hall 'I 4 -2'
loop_
_atom_site_label
_atom_site_fract_x
_atom_site_fract_y
_atom_site_fract_z
Ca1 0.000 0.000 0.000
Zr1 0.000 0.000 0.263
Ir1 0.000 0.000 0.664
```

Output
The formation enthalpy at 0 K comes out at -0.359 eV per atom.

---

CaZr3Ir: relaxed, PBE.

The structure in CIF format:
```
data_CaZr3Ir
_chemical_formula_sum 'Ca1 Zr3 Ir1'
_cell_length_a 4.847
_cell_length_b 4.847
_cell_length_c 4.847
_cell_angle_alpha 90.00
_cell_angle_beta 90.00
_cell_angle_gamma 90.00
_symmetry_space_group_name_H-M 'P m -3 m'
_symmetry_Int_Tables_number 221
_symmetry_space_group_name_Hall '-P 4 2 3'
loop_
_atom_site_label
_atom_site_fract_x
_atom_site_fract_y
_atom_site_fract_z
Ca1 0.000 0.000 0.000
Zr1 0.000 0.000 0.500
Ir1 0.500 0.500 0.500
```

Output
The formation enthalpy at 0 K comes out at 1.797 eV per atom.

---

CaZr2Ir: relaxed, PBE.

The structure in CIF format:
```
data_CaZr2Ir
_chemical_formula_sum 'Ca4 Zr8 Ir4'
_cell_length_a 6.889
_cell_length_b 6.889
_cell_length_c 6.889
_cell_angle_alpha 90.00
_cell_angle_beta 90.00
_cell_angle_gamma 90.00
_symmetry_space_group_name_H-M 'F m -3 m'
_symmetry_Int_Tables_number 225
_symmetry_space_group_name_Hall '-F 4 2 3'
loop_
_atom_site_label
_atom_site_fract_x
_atom_site_fract_y
_atom_site_fract_z
Ca1 0.000 0.000 0.000
Zr1 0.250 0.250 0.250
Ir1 0.000 0.000 0.500
```

Output
The formation enthalpy at 0 K comes out at -0.066 eV per atom.

---

Ca2ZrIr: relaxed, PBE.

The structure in CIF format:
```
data_Ca2ZrIr
_chemical_formula_sum 'Ca4 Zr2 Ir2'
_cell_length_a 8.998
_cell_length_b 3.723
_cell_length_c 7.871
_cell_angle_alpha 90.00
_cell_angle_beta 108.07
_cell_angle_gamma 90.00
_symmetry_space_group_name_H-M 'C 1 m 1'
_symmetry_Int_Tables_number 8
loop_
_symmetry_equiv_pos_as_xyz
'x,y,z'
'x,-y,z'
'x+1/2,y+1/2,z'
'x+1/2,-y+1/2,z'
loop_
_atom_site_label
_atom_site_fract_x
_atom_site_fract_y
_atom_site_fract_z
Ca1 0.000 0.000 0.000
Ca2 0.162 0.000 0.598
Zr1 0.304 0.500 0.300
Ir1 0.008 0.500 0.298
```

Output
The formation enthalpy at 0 K comes out at -0.186 eV per atom.

---

CaZrIr: relaxed, PBE.

The structure in CIF format:
```
data_CaZrIr
_chemical_formula_sum 'Ca4 Zr4 Ir4'
_cell_length_a 6.604
_cell_length_b 6.604
_cell_length_c 6.604
_cell_angle_alpha 90.00
_cell_angle_beta 90.00
_cell_angle_gamma 90.00
_symmetry_space_group_name_H-M 'F -4 3 m'
_symmetry_Int_Tables_number 216
_symmetry_space_group_name_Hall 'F -4 2 3'
loop_
_atom_site_label
_atom_site_fract_x
_atom_site_fract_y
_atom_site_fract_z
Ca1 0.000 0.000 0.000
Zr1 0.000 0.000 0.500
Ir1 0.250 0.250 0.750
```

Output
The formation enthalpy at 0 K comes out at -0.252 eV per atom.

---

CaZr2Ir: relaxed, PBE.

The structure in CIF format:
```
data_CaZr2Ir
_chemical_formula_sum 'Ca1 Zr2 Ir1'
_cell_length_a 4.715
_cell_length_b 4.715
_cell_length_c 3.786
_cell_angle_alpha 90.00
_cell_angle_beta 90.00
_cell_angle_gamma 90.00
_symmetry_space_group_name_H-M 'P 4/m m m'
_symmetry_Int_Tables_number 123
_symmetry_space_group_name_Hall '-P 4 2'
loop_
_atom_site_label
_atom_site_fract_x
_atom_site_fract_y
_atom_site_fract_z
Ca1 0.000 0.000 0.000
Zr1 0.000 0.500 0.500
Ir1 0.500 0.500 0.000
```

Output
The formation enthalpy at 0 K comes out at 0.024 eV per atom.